1.
! Cs2TlHgBr6, optimized geometry, DFT PBE; values from VASP
&SYSTEM
  ibrav = 0, nat = 10, ntyp = 4
/
ATOMIC_SPECIES
Cs 132.91 Cs.upf
Tl 204.38 Tl.upf
Hg 200.59 Hg.upf
Br 79.90 Br.upf
ATOMIC_POSITIONS angstrom
Cs 2.8802 2.8802 2.8802
Cs 8.6406 8.6406 8.6406
Tl 0.0000 0.0000 0.0000
Hg 5.7604 5.7604 5.7604
Br 5.7604 5.7604 2.9270
Br 5.7604 2.9270 5.7604
Br 8.5938 5.7604 5.7604
Br 2.9270 5.7604 5.7604
Br 5.7604 8.5938 5.7604
Br 5.7604 5.7604 8.5938
CELL_PARAMETERS angstrom
0.0000 5.7604 5.7604
5.7604 0.0000 5.7604
5.7604 5.7604 0.0000
! - Space group: No. 225
! - Magnetization: 0.000 μB per atom

2.
! Cs3TlHg2Br8, optimized geometry, DFT PBE; values from VASP
&SYSTEM
  ibrav = 0, nat = 14, ntyp = 4
/
ATOMIC_SPECIES
Cs 132.91 Cs.upf
Tl 204.38 Tl.upf
Hg 200.59 Hg.upf
Br 79.90 Br.upf
ATOMIC_POSITIONS angstrom
Cs 0.0000 0.0000 0.0000
Cs 0.0000 4.8373 6.2790
Cs 4.1892 2.4187 4.1538
Tl 0.0000 0.0000 5.2164
Hg 0.0000 4.8373 1.9164
Hg 4.1892 2.4187 8.5163
Br 0.0000 2.4498 3.2022
Br -2.0676 6.0310 3.2022
Br 0.0000 4.8373 9.7860
Br 2.1216 1.2249 7.2305
Br 2.0676 6.0310 3.2022
Br 4.1892 2.4187 0.6468
Br 6.2568 1.2249 7.2305
Br 4.1892 4.8061 7.2305
CELL_PARAMETERS angstrom
8.3785 0.0000 0.0000
-4.1892 7.2560 0.0000
0.0000 0.0000 10.4327
! - Space group: No. 164
! - Magnetization: 0.000 μB per atom

3.
! CsTl2HgBr5, optimized geometry, DFT PBE; values from VASP
&SYSTEM
  ibrav = 0, nat = 18, ntyp = 4
/
ATOMIC_SPECIES
Cs 132.91 Cs.upf
Tl 204.38 Tl.upf
Hg 200.59 Hg.upf
Br 79.90 Br.upf
ATOMIC_POSITIONS angstrom
Cs 0.0000 0.0000 4.0623
Cs 0.0000 0.0000 12.1870
Tl 6.0340 1.4845 0.0000
Tl 1.4845 3.0650 0.0000
Tl 3.0650 1.4845 8.1247
Tl -1.4845 3.0650 8.1247
Hg 4.5495 0.0000 4.0623
Hg 0.0000 4.5495 4.0623
Br 0.0000 0.0000 0.0000
Br 3.1226 1.4269 -2.3183
Br 3.1226 -1.4269 5.8063
Br 3.1226 1.4269 2.3183
Br 3.1226 -1.4269 10.4430
Br 0.0000 0.0000 8.1247
Br 1.4269 5.9764 -2.3183
Br 1.4269 3.1226 5.8063
Br 1.4269 5.9764 2.3183
Br 1.4269 3.1226 10.4430
CELL_PARAMETERS angstrom
-4.5495 4.5495 8.1247
4.5495 -4.5495 8.1247
4.5495 4.5495 -8.1247
! - Space group: No. 140
! - Magnetization: 0.000 μB per atom

4.
! Cs2TlHg2Br7, optimized geometry, DFT PBE; values from VASP
&SYSTEM
  ibrav = 0, nat = 12, ntyp = 4
/
ATOMIC_SPECIES
Cs 132.91 Cs.upf
Tl 204.38 Tl.upf
Hg 200.59 Hg.upf
Br 79.90 Br.upf
ATOMIC_POSITIONS angstrom
Cs -0.0043 0.0000 5.0285
Cs 4.0350 0.0000 9.2710
Tl 0.0000 0.0000 0.0000
Hg 0.0150 0.0000 11.4649
Hg 4.0157 0.0000 2.8345
Br 2.0040 2.0069 2.5603
Br 0.0152 0.0000 8.7143
Br 2.0266 2.0069 11.7391
Br 4.0182 0.0000 0.0000
Br 2.0040 -2.0069 2.5603
Br 4.0155 0.0000 5.5851
Br 2.0266 -2.0069 11.7391
CELL_PARAMETERS angstrom
4.0182 -4.0180 0.0000
4.0182 4.0180 0.0000
-4.0057 0.0000 14.2994
! - Space group: No. 12
! - Magnetization: 0.000 μB per atom

5.
! CsTlHgBr2, optimized geometry, DFT PBE; values from VASP
&SYSTEM
  ibrav = 0, nat = 5, ntyp = 4
/
ATOMIC_SPECIES
Cs 132.91 Cs.upf
Tl 204.38 Tl.upf
Hg 200.59 Hg.upf
Br 79.90 Br.upf
ATOMIC_POSITIONS angstrom
Cs 0.0000 0.0000 0.0000
Tl 3.1569 3.1569 2.9518
Hg 3.1569 3.1569 0.0000
Br 0.0000 3.1569 2.9518
Br 3.1569 0.0000 2.9518
CELL_PARAMETERS angstrom
6.3138 0.0000 0.0000
0.0000 6.3138 0.0000
0.0000 0.0000 5.9036
! - Space group: No. 123
! - Magnetization: 0.000 μB per atom

6.
! CsTlHgBr4, optimized geometry, DFT PBE; values from VASP
&SYSTEM
  ibrav = 0, nat = 14, ntyp = 4
/
ATOMIC_SPECIES
Cs 132.91 Cs.upf
Tl 204.38 Tl.upf
Hg 200.59 Hg.upf
Br 79.90 Br.upf
ATOMIC_POSITIONS angstrom
Cs 0.5707 1.9691 4.1605
Cs 4.2518 5.9072 5.2610
Tl -0.7091 1.9691 8.9405
Tl 5.5317 5.9072 0.4810
Hg 1.5805 5.9072 1.6975
Hg 3.2421 1.9691 7.7240
Br -2.3307 5.9072 8.6218
Br -0.4525 5.9072 3.4305
Br 1.5811 4.0185 7.1962
Br 1.5811 7.7959 7.1962
Br 3.2415 0.0804 2.2253
Br 3.2415 3.8577 2.2253
Br 5.2751 1.9691 5.9910
Br 7.1533 1.9691 0.7998
CELL_PARAMETERS angstrom
7.8799 0.0000 0.0000
0.0000 7.8763 0.0000
-3.0573 0.0000 9.4216
! - Space group: No. 11
! - Magnetization: 0.000 μB per atom

7.
! CsTl2HgBr8, optimized geometry, DFT PBE; values from VASP
&SYSTEM
  ibrav = 0, nat = 12, ntyp = 4
/
ATOMIC_SPECIES
Cs 132.91 Cs.upf
Tl 204.38 Tl.upf
Hg 200.59 Hg.upf
Br 79.90 Br.upf
ATOMIC_POSITIONS angstrom
Cs 0.0000 0.0000 0.0000
Tl 0.0000 0.0000 7.7057
Tl 0.0000 0.0000 23.5147
Hg 0.0000 0.0000 15.6102
Br -1.0236 -2.1260 13.9327
Br -2.3529 -0.1766 17.2877
Br 0.0000 0.0000 10.3816
Br -1.3294 1.9494 13.9327
Br 1.3294 -1.9494 17.2877
Br 0.0000 0.0000 20.8388
Br 2.3529 0.1766 13.9327
Br 1.0235 2.1260 17.2877
CELL_PARAMETERS angstrom
3.6243 2.0925 10.4068
-3.6243 2.0925 10.4068
0.0000 -4.1850 10.4068
! - Space group: No. 148
! - Magnetization: 0.000 μB per atom

8.
! CsTlHgBr2, optimized geometry, DFT PBE; values from VASP
&SYSTEM
  ibrav = 0, nat = 10, ntyp = 4
/
ATOMIC_SPECIES
Cs 132.91 Cs.upf
Tl 204.38 Tl.upf
Hg 200.59 Hg.upf
Br 79.90 Br.upf
ATOMIC_POSITIONS angstrom
Cs 1.5553 0.0000 5.0134
Cs 11.0194 0.0000 8.5273
Tl 4.6400 0.0000 2.4726
Tl 7.9346 0.0000 11.0681
Hg 1.1209 0.0000 13.4789
Hg 11.4537 0.0000 0.0618
Br 1.5582 0.0000 8.6559
Br 4.9369 0.0000 11.1375
Br 7.6377 0.0000 2.4032
Br 11.0164 0.0000 4.8848
CELL_PARAMETERS angstrom
6.5415 -2.3819 0.0000
6.5415 2.3819 0.0000
-0.5084 0.0000 13.5407
! - Space group: No. 12
! - Magnetization: 0.000 μB per atom

Uncorrected formation energy, respectively: -101.3 -105.3 -90.7 -90.5 -87.4 -93.7 -63.7 -95.5 kJ/mol of atoms.
Energy, respectively: -24.916 -34.200 -22.715 -27.645 -11.394 -17.013 -27.187 -11.818 eV/f.u..